Entry from Alexandria: a geometry-optimized CeCo4Cu3O12 structure (PBE with a Hubbard U).

```
CeCo4Cu3O12
1.0
-2.864 1.282 -5.516
-0.848 -6.119 1.451
-2.496 3.624 4.572
O Co Ce Cu
12 4 1 3
Cartesian
-4.168 -0.569 1.907
-1.916 -4.200 0.143
-2.040 -0.643 -1.399
-2.201 1.073 0.733
-4.560 0.368 -0.640
-2.954 -2.554 3.498
-2.720 1.318 3.493
-1.649 -1.580 1.148
-4.007 -2.286 -0.226
-3.489 -2.531 -2.985
-3.254 1.341 -2.991
-4.293 2.988 0.365
-1.248 1.812 2.286
-0.424 -3.060 0.726
-3.104 -0.606 0.254
-1.432 0.641 -2.758
0.000 0.000 0.000
-1.856 -2.418 -2.032
-1.672 -1.247 3.012
-2.680 2.453 -0.472
```

Values from the calculation:
Fermi-level density of states in states/eV per atom: 0.24
Spin magnetization in μB per formula unit: 9.02
VASP energy in eV per atom: -6.053